# HoTh2MoC4 (PBE, optimized geometry)
# ΔE_f	0.0002	eV per atom
# Fermi-level density of states	0.44	states/eV per atom
data_HoTh2MoC4
_symmetry_space_group_name_H-M 'P 1'
_symmetry_Int_Tables_number 1
_cell_length_a 6.301
_cell_length_b 6.301
_cell_length_c 12.948
_cell_angle_alpha 90.00
_cell_angle_beta 90.00
_cell_angle_gamma 146.83
loop_
_symmetry_equiv_pos_as_xyz
'x,y,z'
loop_
_atom_site_label
_atom_site_type_symbol
_atom_site_fract_x
_atom_site_fract_y
_atom_site_fract_z
Ho1 Ho 0.110 0.890 0.750
Ho2 Ho 0.890 0.110 0.250
Th1 Th 0.366 0.634 0.538
Th2 Th 0.366 0.634 0.962
Th3 Th 0.634 0.366 0.038
Th4 Th 0.634 0.366 0.462
Mo1 Mo 0.163 0.837 0.250
Mo2 Mo 0.837 0.163 0.750
C1 C 0.000 0.000 0.000
C2 C 0.000 0.000 0.500
C3 C 0.268 0.732 0.136
C4 C 0.268 0.732 0.364
C5 C 0.427 0.573 0.750
C6 C 0.573 0.427 0.250
C7 C 0.732 0.268 0.636
C8 C 0.732 0.268 0.864



# Ho2ThMoC4 (PBE, optimized geometry)
# ΔE_f	-0.1089	eV per atom
# Fermi-level density of states	0.41	states/eV per atom
data_Ho2ThMoC4
_symmetry_space_group_name_H-M 'P 1'
_symmetry_Int_Tables_number 1
_cell_length_a 6.322
_cell_length_b 6.322
_cell_length_c 12.189
_cell_angle_alpha 90.00
_cell_angle_beta 90.00
_cell_angle_gamma 147.65
loop_
_symmetry_equiv_pos_as_xyz
'x,y,z'
loop_
_atom_site_label
_atom_site_type_symbol
_atom_site_fract_x
_atom_site_fract_y
_atom_site_fract_z
Ho1 Ho 0.130 0.870 0.540
Ho2 Ho 0.130 0.870 0.960
Ho3 Ho 0.870 0.130 0.040
Ho4 Ho 0.870 0.130 0.460
Th1 Th 0.400 0.600 0.750
Th2 Th 0.600 0.400 0.250
Mo1 Mo 0.337 0.663 0.250
Mo2 Mo 0.663 0.337 0.750
C1 C 0.068 0.932 0.750
C2 C 0.235 0.765 0.129
C3 C 0.235 0.765 0.371
C4 C 0.500 0.500 0.000
C5 C 0.500 0.500 0.500
C6 C 0.765 0.235 0.629
C7 C 0.765 0.235 0.871
C8 C 0.932 0.068 0.250



# Ho6C2N (PBE, optimized geometry)
# Fermi-level density of states	0.88	states/eV per atom
# E_form (uncorrected)	-0.55	eV per atom
data_Ho6C2N
_symmetry_space_group_name_H-M 'P 1'
_symmetry_Int_Tables_number 1
_cell_length_a 6.108
_cell_length_b 6.108
_cell_length_c 6.095
_cell_angle_alpha 90.00
_cell_angle_beta 90.00
_cell_angle_gamma 120.00
loop_
_symmetry_equiv_pos_as_xyz
'x,y,z'
loop_
_atom_site_label
_atom_site_type_symbol
_atom_site_fract_x
_atom_site_fract_y
_atom_site_fract_z
Ho1 Ho 0.000 0.330 0.220
Ho2 Ho 0.000 0.670 0.780
Ho3 Ho 0.330 0.000 0.220
Ho4 Ho 0.330 0.330 0.780
Ho5 Ho 0.670 0.000 0.780
Ho6 Ho 0.670 0.670 0.220
C1 C 0.333 0.667 0.000
C2 C 0.667 0.333 0.000
N1 N 0.000 0.000 0.000



# Ho4CN2 (PBE, optimized geometry)
# Fermi-level density of states	0.48	states/eV per atom
# E_form (uncorrected)	-0.97	eV per atom
data_Ho4CN2
_symmetry_space_group_name_H-M 'P 1'
_symmetry_Int_Tables_number 1
_cell_length_a 7.106
_cell_length_b 7.106
_cell_length_c 10.058
_cell_angle_alpha 90.00
_cell_angle_beta 90.00
_cell_angle_gamma 90.00
loop_
_symmetry_equiv_pos_as_xyz
'x,y,z'
loop_
_atom_site_label
_atom_site_type_symbol
_atom_site_fract_x
_atom_site_fract_y
_atom_site_fract_z
Ho1 Ho 0.009 0.246 0.259
Ho2 Ho 0.009 0.754 0.241
Ho3 Ho 0.246 0.009 0.491
Ho4 Ho 0.246 0.991 0.009
Ho5 Ho 0.247 0.482 0.495
Ho6 Ho 0.247 0.518 0.005
Ho7 Ho 0.482 0.247 0.255
Ho8 Ho 0.482 0.753 0.245
Ho9 Ho 0.518 0.247 0.745
Ho10 Ho 0.518 0.753 0.755
Ho11 Ho 0.753 0.482 0.505
Ho12 Ho 0.753 0.518 0.995
Ho13 Ho 0.754 0.009 0.509
Ho14 Ho 0.754 0.991 0.991
Ho15 Ho 0.991 0.246 0.741
Ho16 Ho 0.991 0.754 0.759
C1 C 0.241 0.500 0.250
C2 C 0.500 0.241 0.500
C3 C 0.500 0.759 0.000
C4 C 0.759 0.500 0.750
N1 N 0.000 0.243 0.500
N2 N 0.000 0.757 0.000
N3 N 0.243 0.000 0.250
N4 N 0.251 0.251 0.875
N5 N 0.251 0.749 0.625
N6 N 0.749 0.251 0.125
N7 N 0.749 0.749 0.375
N8 N 0.757 0.000 0.750



# HoCN3 (PBE, optimized geometry)
# Fermi-level density of states	0.22	states/eV per atom
# E_form (uncorrected)	-0.21	eV per atom
data_HoCN3
_symmetry_space_group_name_H-M 'P 1'
_symmetry_Int_Tables_number 1
_cell_length_a 6.326
_cell_length_b 6.326
_cell_length_c 5.650
_cell_angle_alpha 90.00
_cell_angle_beta 90.00
_cell_angle_gamma 148.28
loop_
_symmetry_equiv_pos_as_xyz
'x,y,z'
loop_
_atom_site_label
_atom_site_type_symbol
_atom_site_fract_x
_atom_site_fract_y
_atom_site_fract_z
Ho1 Ho 0.152 0.848 0.750
Ho2 Ho 0.848 0.152 0.250
C1 C 0.413 0.587 0.750
C2 C 0.587 0.413 0.250
N1 N 0.346 0.654 0.561
N2 N 0.346 0.654 0.939
N3 N 0.477 0.523 0.250
N4 N 0.523 0.477 0.750
N5 N 0.654 0.346 0.061
N6 N 0.654 0.346 0.439



# Ho8C3N (PBE, optimized geometry)
# Fermi-level density of states	0.57	states/eV per atom
# E_form (uncorrected)	-0.51	eV per atom
data_Ho8C3N
_symmetry_space_group_name_H-M 'P 1'
_symmetry_Int_Tables_number 1
_cell_length_a 7.090
_cell_length_b 7.090
_cell_length_c 7.296
_cell_angle_alpha 119.12
_cell_angle_beta 119.12
_cell_angle_gamma 60.02
loop_
_symmetry_equiv_pos_as_xyz
'x,y,z'
loop_
_atom_site_label
_atom_site_type_symbol
_atom_site_fract_x
_atom_site_fract_y
_atom_site_fract_z
Ho1 Ho 0.240 0.240 0.721
Ho2 Ho 0.240 0.741 0.721
Ho3 Ho 0.258 0.258 0.275
Ho4 Ho 0.259 0.760 0.279
Ho5 Ho 0.741 0.240 0.721
Ho6 Ho 0.742 0.742 0.725
Ho7 Ho 0.760 0.259 0.279
Ho8 Ho 0.760 0.760 0.279
C1 C 0.000 0.500 0.500
C2 C 0.500 0.000 0.500
C3 C 0.500 0.500 0.500
N1 N 0.000 0.000 0.500



# Ho2C3N6 (PBE, optimized geometry)
# Fermi-level density of states	0.00	states/eV per atom
# E_form (uncorrected)	-0.79	eV per atom
data_Ho2C3N6
_symmetry_space_group_name_H-M 'P 1'
_symmetry_Int_Tables_number 1
_cell_length_a 7.412
_cell_length_b 7.412
_cell_length_c 5.229
_cell_angle_alpha 96.02
_cell_angle_beta 96.02
_cell_angle_gamma 29.56
loop_
_symmetry_equiv_pos_as_xyz
'x,y,z'
loop_
_atom_site_label
_atom_site_type_symbol
_atom_site_fract_x
_atom_site_fract_y
_atom_site_fract_z
Ho1 Ho 0.134 0.134 0.069
Ho2 Ho 0.866 0.866 0.931
C1 C 0.000 0.000 0.500
C2 C 0.329 0.329 0.407
C3 C 0.671 0.671 0.593
N1 N 0.011 0.011 0.737
N2 N 0.310 0.310 0.168
N3 N 0.344 0.344 0.640
N4 N 0.656 0.656 0.360
N5 N 0.690 0.690 0.832
N6 N 0.989 0.989 0.263



# Ho3CN2 (PBE, optimized geometry)
# Fermi-level density of states	0.40	states/eV per atom
# E_form (uncorrected)	-1.14	eV per atom
data_Ho3CN2
_symmetry_space_group_name_H-M 'P 1'
_symmetry_Int_Tables_number 1
_cell_length_a 6.075
_cell_length_b 6.075
_cell_length_c 6.075
_cell_angle_alpha 146.84
_cell_angle_beta 132.12
_cell_angle_gamma 59.48
loop_
_symmetry_equiv_pos_as_xyz
'x,y,z'
loop_
_atom_site_label
_atom_site_type_symbol
_atom_site_fract_x
_atom_site_fract_y
_atom_site_fract_z
Ho1 Ho 0.000 0.000 0.000
Ho2 Ho 0.327 0.327 0.000
Ho3 Ho 0.673 0.673 0.000
C1 C 0.500 0.000 0.500
N1 N 0.168 0.668 0.500
N2 N 0.832 0.332 0.500



# NaHo2C2N6 (PBE, optimized geometry)
# Fermi-level density of states	0.38	states/eV per atom
# E_form (uncorrected)	-0.38	eV per atom
data_NaHo2C2N6
_symmetry_space_group_name_H-M 'P 1'
_symmetry_Int_Tables_number 1
_cell_length_a 5.835
_cell_length_b 5.835
_cell_length_c 6.165
_cell_angle_alpha 113.53
_cell_angle_beta 113.53
_cell_angle_gamma 64.86
loop_
_symmetry_equiv_pos_as_xyz
'x,y,z'
loop_
_atom_site_label
_atom_site_type_symbol
_atom_site_fract_x
_atom_site_fract_y
_atom_site_fract_z
Na1 Na 0.000 0.000 0.000
Ho1 Ho 0.328 0.328 0.695
Ho2 Ho 0.672 0.672 0.305
C1 C 0.322 0.322 0.237
C2 C 0.678 0.678 0.763
N1 N 0.095 0.452 0.298
N2 N 0.414 0.414 0.131
N3 N 0.452 0.095 0.298
N4 N 0.548 0.905 0.702
N5 N 0.586 0.586 0.869
N6 N 0.905 0.548 0.702



# HoNpCN (PBE, optimized geometry)
# Fermi-level density of states	1.18	states/eV per atom
# E_form (uncorrected)	-0.76	eV per atom
data_HoNpCN
_symmetry_space_group_name_H-M 'P 1'
_symmetry_Int_Tables_number 1
_cell_length_a 6.058
_cell_length_b 6.058
_cell_length_c 6.058
_cell_angle_alpha 33.47
_cell_angle_beta 33.47
_cell_angle_gamma 33.47
loop_
_symmetry_equiv_pos_as_xyz
'x,y,z'
loop_
_atom_site_label
_atom_site_type_symbol
_atom_site_fract_x
_atom_site_fract_y
_atom_site_fract_z
Ho1 Ho 0.000 0.000 0.000
Np1 Np 0.502 0.502 0.502
C1 C 0.758 0.758 0.758
N1 N 0.246 0.246 0.246



Number 1: calculated volume 17.58 Å³ per atom. Number 2: calculated volume 16.29 Å³ per atom. Number 3: calculated volume 21.88 Å³ per atom. Number 4: calculated volume 18.14 Å³ per atom. Number 5: calculated volume 11.89 Å³ per atom. Number 6: calculated volume 21.90 Å³ per atom. Number 7: calculated volume 12.81 Å³ per atom. Number 8: calculated volume 15.03 Å³ per atom. Number 9: calculated volume 15.22 Å³ per atom. Number 10: calculated volume 15.06 Å³ per atom.